No. 1
This record from Alexandria describes a geometry-optimized Nd12SmDy5 structure. The functional is PBE.

Structure (CIF):
```
data_Nd12SmDy5
_chemical_formula_sum 'Nd24 Sm2 Dy10'
_cell_length_a 15.425
_cell_length_b 15.453
_cell_length_c 5.154
_cell_angle_alpha 90.00
_cell_angle_beta 90.00
_cell_angle_gamma 90.00
_symmetry_space_group_name_H-M 'C m m m'
_symmetry_Int_Tables_number 65
_symmetry_space_group_name_Hall '-C 2 2'
loop_
_atom_site_label
_atom_site_type_symbol
_atom_site_fract_x
_atom_site_fract_y
_atom_site_fract_z
_atom_site_occupancy
Nd1 Nd 0.165 0.000 0.000 1
Nd2 Nd 0.165 0.167 0.500 1
Nd3 Nd 0.165 0.333 0.000 1
Nd4 Nd 0.166 0.500 0.500 1
Sm1 Sm 0.000 0.500 0.000 1
Dy1 Dy 0.000 0.000 0.500 1
Dy2 Dy 0.000 0.167 0.000 1
Dy3 Dy 0.000 0.333 0.500 1
```

No. 2
This record from Alexandria describes a geometry-optimized NdSm12Dy6 structure. The functional is PBE.

Values from the calculation:
Its distance to the lowest polymorph of the same formula is 59 meV per atom.

Structure (CIF):
```
data_NdSm12Dy6
_chemical_formula_sum 'Nd3 Sm36 Dy18'
_cell_length_a 13.3579
_cell_length_b 13.3579
_cell_length_c 12.6871
_cell_angle_alpha 90.00
_cell_angle_beta 90.00
_cell_angle_gamma 120.00
_symmetry_space_group_name_H-M 'R -3 m'
_symmetry_Int_Tables_number 166
_symmetry_space_group_name_Hall '-R 3 2"'
loop_
_atom_site_label
_atom_site_type_symbol
_atom_site_fract_x
_atom_site_fract_y
_atom_site_fract_z
_atom_site_occupancy
Nd1 Nd 0.0000 0.0000 0.0000 1
Sm1 Sm 0.0000 0.2590 0.5000 1
Sm2 Sm 0.0908 0.1816 0.2646 1
Dy1 Dy 0.0410 0.5205 0.6192 1
```

No. 3
This record from Alexandria describes a geometry-optimized NdSmDy structure. The functional is PBE.

Values from the calculation:
Its distance to the lowest polymorph of the same formula is 4 meV per atom.

Structure (CIF):
```
data_NdSmDy
_chemical_formula_sum 'Nd2 Sm2 Dy2'
_cell_length_a 3.620
_cell_length_b 3.620
_cell_length_c 15.345
_cell_angle_alpha 90.00
_cell_angle_beta 90.00
_cell_angle_gamma 90.00
_symmetry_space_group_name_H-M 'I 4 m m'
_symmetry_Int_Tables_number 107
_symmetry_space_group_name_Hall 'I 4 -2'
loop_
_atom_site_label
_atom_site_type_symbol
_atom_site_fract_x
_atom_site_fract_y
_atom_site_fract_z
_atom_site_occupancy
Nd1 Nd 0.000 0.000 0.000 1
Sm1 Sm 0.000 0.000 0.670 1
Dy1 Dy 0.000 0.000 0.334 1
```

No. 4
This record from Alexandria describes a geometry-optimized Nd5Sm2Dy6 structure. The functional is PBE.

Structure (CIF):
```
data_Nd5Sm2Dy6
_chemical_formula_sum 'Nd10 Sm4 Dy12'
_cell_length_a 11.753
_cell_length_b 20.634
_cell_length_c 3.617
_cell_angle_alpha 90.00
_cell_angle_beta 90.00
_cell_angle_gamma 90.00
_symmetry_space_group_name_H-M 'P b a m'
_symmetry_Int_Tables_number 55
loop_
_symmetry_equiv_pos_as_xyz
'x,y,z'
'-x,-y,-z'
'-x,-y,z'
'x,y,-z'
'x+1/2,-y+1/2,-z'
'-x+1/2,y+1/2,z'
'-x+1/2,y+1/2,-z'
'x+1/2,-y+1/2,z'
loop_
_atom_site_label
_atom_site_type_symbol
_atom_site_fract_x
_atom_site_fract_y
_atom_site_fract_z
_atom_site_occupancy
Nd1 Nd 0.000 0.000 0.000 1
Nd2 Nd 0.085 0.275 0.000 1
Nd3 Nd 0.200 0.551 0.000 1
Sm1 Sm 0.172 0.713 0.500 1
Dy1 Dy 0.061 0.421 0.500 1
Dy2 Dy 0.079 0.133 0.500 1
Dy3 Dy 0.178 0.866 0.000 1
```

No. 5
This record from Alexandria describes a geometry-optimized NdSm5Dy3 structure. The functional is PBE.

Values from the calculation:
Its distance to the lowest polymorph of the same formula is 234 meV per atom.

Structure (CIF):
```
data_NdSm5Dy3
_chemical_formula_sum 'Nd4 Sm20 Dy12'
_cell_length_a 16.956
_cell_length_b 8.182
_cell_length_c 12.402
_cell_angle_alpha 90.00
_cell_angle_beta 131.26
_cell_angle_gamma 90.00
_symmetry_space_group_name_H-M 'C 1 2/m 1'
_symmetry_Int_Tables_number 12
loop_
_symmetry_equiv_pos_as_xyz
'x,y,z'
'-x,-y,-z'
'-x,y,-z'
'x,-y,z'
'x+1/2,y+1/2,z'
'-x+1/2,-y+1/2,-z'
'-x+1/2,y+1/2,-z'
'x+1/2,-y+1/2,z'
loop_
_atom_site_label
_atom_site_type_symbol
_atom_site_fract_x
_atom_site_fract_y
_atom_site_fract_z
_atom_site_occupancy
Nd1 Nd 0.237 0.000 0.132 1
Sm1 Sm 0.000 0.318 0.000 1
Sm2 Sm 0.063 0.202 0.777 1
Sm3 Sm 0.132 0.000 0.573 1
Sm4 Sm 0.196 0.500 0.064 1
Dy1 Dy 0.000 0.000 0.000 1
Dy2 Dy 0.000 0.500 0.500 1
Dy3 Dy 0.113 0.500 0.314 1
Dy4 Dy 0.177 0.000 0.342 1
```

No. 6
This record from Alexandria describes a geometry-optimized Nd5SmDy6 structure. The functional is PBE.

Values from the calculation:
Its distance to the lowest polymorph of the same formula is 0 meV per atom.

Structure (CIF):
```
data_Nd5SmDy6
_chemical_formula_sum 'Nd10 Sm2 Dy12'
_cell_length_a 6.264
_cell_length_b 10.846
_cell_length_c 11.861
_cell_angle_alpha 90.00
_cell_angle_beta 100.09
_cell_angle_gamma 90.00
_symmetry_space_group_name_H-M 'C 1 2/m 1'
_symmetry_Int_Tables_number 12
loop_
_symmetry_equiv_pos_as_xyz
'x,y,z'
'-x,-y,-z'
'-x,y,-z'
'x,-y,z'
'x+1/2,y+1/2,z'
'-x+1/2,-y+1/2,-z'
'-x+1/2,y+1/2,-z'
'x+1/2,-y+1/2,z'
loop_
_atom_site_label
_atom_site_type_symbol
_atom_site_fract_x
_atom_site_fract_y
_atom_site_fract_z
_atom_site_occupancy
Nd1 Nd 0.000 0.000 0.000 1
Nd2 Nd 0.000 0.167 0.500 1
Nd3 Nd 0.000 0.333 0.000 1
Sm1 Sm 0.000 0.500 0.500 1
Dy1 Dy 0.250 0.000 0.750 1
Dy2 Dy 0.250 0.167 0.251 1
```

No. 7
This record from Alexandria describes a geometry-optimized Nd3SmDy8 structure. The functional is PBE.

Structure (CIF):
```
data_Nd3SmDy8
_chemical_formula_sum 'Nd6 Sm2 Dy16'
_cell_length_a 6.460
_cell_length_b 11.376
_cell_length_c 11.484
_cell_angle_alpha 90.00
_cell_angle_beta 90.00
_cell_angle_gamma 90.00
_symmetry_space_group_name_H-M 'I m m m'
_symmetry_Int_Tables_number 71
_symmetry_space_group_name_Hall '-I 2 2'
loop_
_atom_site_label
_atom_site_type_symbol
_atom_site_fract_x
_atom_site_fract_y
_atom_site_fract_z
_atom_site_occupancy
Nd1 Nd 0.000 0.000 0.000 1
Nd2 Nd 0.000 0.500 0.249 1
Sm1 Sm 0.000 0.000 0.500 1
Dy1 Dy 0.000 0.170 0.250 1
Dy2 Dy 0.249 0.252 0.000 1
```

No. 8
This record from Alexandria describes a geometry-optimized NdSm6Dy8 structure. The functional is PBE.

Structure (CIF):
```
data_NdSm6Dy8
_chemical_formula_sum 'Nd3 Sm18 Dy24'
_cell_length_a 9.1076
_cell_length_b 9.1076
_cell_length_c 20.7616
_cell_angle_alpha 90.00
_cell_angle_beta 90.00
_cell_angle_gamma 120.00
_symmetry_space_group_name_H-M 'R -3'
_symmetry_Int_Tables_number 148
_symmetry_space_group_name_Hall '-R 3'
loop_
_atom_site_label
_atom_site_type_symbol
_atom_site_fract_x
_atom_site_fract_y
_atom_site_fract_z
_atom_site_occupancy
Nd1 Nd 0.0000 0.0000 0.0000 1
Sm1 Sm 0.0613 0.8148 0.7089 1
Dy1 Dy 0.0000 0.0000 0.4235 1
Dy2 Dy 0.0804 0.5271 0.8080 1
```

No. 9
This record from Alexandria describes a geometry-optimized Nd8Sm3Dy4 structure. The functional is PBE.

Values from the calculation:
Its distance to the lowest polymorph of the same formula is 0 meV per atom.

Structure (CIF):
```
data_Nd8Sm3Dy4
_chemical_formula_sum 'Nd24 Sm9 Dy12'
_cell_length_a 7.0591
_cell_length_b 7.0591
_cell_length_c 36.0275
_cell_angle_alpha 90.00
_cell_angle_beta 90.00
_cell_angle_gamma 120.00
_symmetry_space_group_name_H-M 'R -3 m'
_symmetry_Int_Tables_number 166
_symmetry_space_group_name_Hall '-R 3 2"'
loop_
_atom_site_label
_atom_site_type_symbol
_atom_site_fract_x
_atom_site_fract_y
_atom_site_fract_z
_atom_site_occupancy
Nd1 Nd 0.0000 0.0000 0.2465 1
Nd2 Nd 0.0012 0.5006 0.7495 1
Sm1 Sm 0.0000 0.5000 0.5000 1
Dy1 Dy 0.0000 0.0000 0.0000 1
Dy2 Dy 0.0000 0.0000 0.3354 1
Dy3 Dy 0.0000 0.0000 0.5000 1
```

No. 10
This record from Alexandria describes a geometry-optimized NdSm5Dy12 structure. The functional is PBE.

Structure (CIF):
```
data_NdSm5Dy12
_chemical_formula_sum 'Nd2 Sm10 Dy24'
_cell_length_a 11.321
_cell_length_b 17.349
_cell_length_c 5.971
_cell_angle_alpha 90.00
_cell_angle_beta 90.01
_cell_angle_gamma 90.00
_symmetry_space_group_name_H-M 'C 1 2/m 1'
_symmetry_Int_Tables_number 12
loop_
_symmetry_equiv_pos_as_xyz
'x,y,z'
'-x,-y,-z'
'-x,y,-z'
'x,-y,z'
'x+1/2,y+1/2,z'
'-x+1/2,-y+1/2,-z'
'-x+1/2,y+1/2,-z'
'x+1/2,-y+1/2,z'
loop_
_atom_site_label
_atom_site_type_symbol
_atom_site_fract_x
_atom_site_fract_y
_atom_site_fract_z
_atom_site_occupancy
Nd1 Nd 0.000 0.000 0.000 1
Sm1 Sm 0.000 0.167 0.500 1
Sm2 Sm 0.000 0.333 0.000 1
Sm3 Sm 0.000 0.500 0.500 1
Dy1 Dy 0.176 0.500 0.949 1
Dy2 Dy 0.177 0.000 0.551 1
Dy3 Dy 0.177 0.333 0.554 1
Dy4 Dy 0.178 0.167 0.946 1
```

Number 1: energy of formation 18 meV per atom, electronic total energy -4.7014 eV per atom, DOS at the Fermi energy 1.545 states/eV/atom. Number 2: energy of formation 200 meV per atom, electronic total energy -4.4846 eV per atom, DOS at the Fermi energy 1.940 states/eV/atom. Number 3: energy of formation 19 meV per atom, electronic total energy -4.6773 eV per atom, DOS at the Fermi energy 1.378 states/eV/atom. Number 4: energy of formation 93 meV per atom, electronic total energy -4.5913 eV per atom, DOS at the Fermi energy 1.226 states/eV/atom. Number 5: energy of formation 407 meV per atom, electronic total energy -4.2788 eV per atom, DOS at the Fermi energy 1.448 states/eV/atom. Number 6: energy of formation 12 meV per atom, electronic total energy -4.6693 eV per atom, DOS at the Fermi energy 1.157 states/eV/atom. Number 7: energy of formation 292 meV per atom, electronic total energy -4.3612 eV per atom, DOS at the Fermi energy 1.281 states/eV/atom. Number 8: energy of formation 126 meV per atom, electronic total energy -4.5336 eV per atom, DOS at the Fermi energy 1.435 states/eV/atom. Number 9: energy of formation 155 meV per atom, electronic total energy -4.5593 eV per atom, DOS at the Fermi energy 1.644 states/eV/atom. Number 10: energy of formation 106 meV per atom, electronic total energy -4.5382 eV per atom, DOS at the Fermi energy 1.718 states/eV/atom.